A plane-wave DFT calculation with PBE was carried out for PrGd2Pa after structural relaxation.

a = 3.4441 Å, b = 3.4441 Å, c = 10.3417 Å
α = 90.00°, β = 90.00°, γ = 90.00°
Site moments in Bohr magnetons follow the coordinates.
Fractional coordinates of all 4 atoms:
Gd: 0.0000 0.0000 0.7750  7.05
Gd: 0.0000 0.0000 0.2250  7.05
Pr: 0.5000 0.5000 0.5000  -0.08
Pa: 0.5000 0.5000 0.0000  -0.45

- offset from the most stable computed form (meV per atom) = 0
- symmetry = P4/mmm
- ΔH_f (0 K) (eV per atom) = 0.1221
- volume (Å³/atom) = 30.67
- DFT total energy (eV per cell) = -41.95



A plane-wave DFT calculation with PBE was carried out for Gd2PaPt after structural relaxation.

a = 3.5084 Å, b = 3.5084 Å, c = 8.0964 Å
α = 90.00°, β = 90.00°, γ = 90.00°
Site moments in Bohr magnetons follow the coordinates.
Fractional coordinates of all 4 atoms:
Gd: 0.0000 0.0000 0.7868  7.00
Gd: 0.0000 0.0000 0.2132  7.00
Pa: 0.5000 0.5000 0.5000  -0.35
Pt: 0.5000 0.5000 0.0000  -0.01

- symmetry = P4/mmm
- ΔH_f (0 K) (eV per atom) = -0.4252
- volume (Å³/atom) = 24.91
- DFT total energy (eV per cell) = -45.40



A plane-wave DFT calculation with PBE was carried out for GdPaZnPt after structural relaxation.

a = 5.0101 Å, b = 5.0101 Å, c = 5.0101 Å
α = 60.00°, β = 60.00°, γ = 60.00°
Site moments in Bohr magnetons follow the coordinates.
Fractional coordinates of all 4 atoms:
Gd: 0.7500 0.7500 0.7500  7.08
Zn: 0.5000 0.5000 0.5000  -0.01
Pa: 0.2500 0.2500 0.2500  0.41
Pt: 0.0000 0.0000 0.0000  -0.04

- symmetry = F-43m
- ΔH_f (0 K) (eV per atom) = -0.4608
- volume (Å³/atom) = 22.23
- DFT total energy (eV per cell) = -32.73



| no. | size of the total moment (μB per cell) |
| --- | --- |
| 1 | 13.687 |
| 2 | 13.767 |
| 3 | 7.668 |